No. 1
Crystalline YInCo2 at its relaxed geometry, computed with PBEsol.

Output
The crystal system is orthorhombic. For the formation energy, the calculation gives -6.4 kcal/mol of atoms. For the total energy, the calculation gives -6.60 eV/atom.

a b c (Å): 4.950 3.933 7.030
angles (deg): 90.00 90.00 90.00
Space group Pmma (No. 51)
Inequivalent atoms, fractional coordinates:
Y 0.250 0.000 0.220 x2
In 0.250 0.500 0.849 x2
Co 0.000 0.500 0.500 x2
Co 0.250 0.000 0.590 x2

No. 2
Crystalline Y2InCo at its relaxed geometry, computed with PBEsol.

Output
The crystal system is tetragonal. For the formation energy, the calculation gives -7.9 kcal/mol of atoms. For the total energy, the calculation gives -6.43 eV/atom.

a b c (Å): 3.350 3.350 7.737
angles (deg): 90.00 90.00 90.00
Space group P4/mmm (No. 123)
Inequivalent atoms, fractional coordinates:
Y 0.000 0.000 0.208 x2
In 0.500 0.500 0.500 x1
Co 0.500 0.500 0.000 x1

No. 3
Crystalline YIn5Co at its relaxed geometry, computed with PBEsol.

Output
The crystal system is tetragonal. For the formation energy, the calculation gives -7.2 kcal/mol of atoms. For the total energy, the calculation gives -4.52 eV/atom.

a b c (Å): 4.494 4.494 7.378
angles (deg): 90.00 90.00 90.00
Space group P4/mmm (No. 123)
Inequivalent atoms, fractional coordinates:
Y 0.000 0.000 0.000 x1
In 0.000 0.500 0.307 x4
In 0.500 0.500 0.000 x1
Co 0.000 0.000 0.500 x1

No. 4
Crystalline Y8In3Co at its relaxed geometry, computed with PBEsol.

Output
The crystal system is hexagonal. For the formation energy, the calculation gives -9.3 kcal/mol of atoms. For the total energy, the calculation gives -6.34 eV/atom.

a b c (Å): 10.2346 10.2346 6.9141
angles (deg): 90.00 90.00 120.00
Space group P6_3mc (No. 186)
Inequivalent atoms, fractional coordinates:
Y 0.0000 0.0000 0.0114 x2
Y 0.0705 0.5352 0.0000 x6
Y 0.1777 0.3554 0.2916 x6
Y 0.3333 0.6667 0.6094 x2
In 0.1631 0.3261 0.7525 x6
Co 0.3333 0.6667 0.2227 x2